[1]
Entry from the Alexandria database: crystalline Te2WN2 at its relaxed geometry (PBE).

```
Te2WN2
1.0
5.416 0.000 0.000
0.000 5.416 0.000
0.000 0.000 3.803
Te N W
2 2 1
direct
0.500 0.000 0.000
0.000 0.500 0.000
0.500 0.500 0.500
0.000 0.000 0.500
0.000 0.000 0.000
```

Computed properties:
For the raw formation energy, the calculation gives 1.30 eV per atom. The density of states at the Fermi level is 3.44 states/eV/cell. As for the crystal system: tetragonal.

***

[2]
Entry from the Alexandria database: crystalline HfTlAgPd at its relaxed geometry (PBE).

```
HfTlAgPd
1.0
-0.703 -2.741 -3.824
-1.275 -4.552 0.538
-4.401 -1.390 -1.154
Hf Tl Pd Ag
1 1 1 1
direct
0.500 0.500 0.500
0.000 0.000 0.000
0.250 0.250 0.250
0.750 0.750 0.750
```

Computed properties:
The value obtained for the formation enthalpy at 0 K is -0.160 eV/atom. The density of states at the Fermi level is 2.51 states/eV/cell. As for the crystal system: cubic.

***

[3]
Entry from the Alexandria database: crystalline Ba2TlPb at its relaxed geometry (PBE).

```
Ba2TlPb
1.0
-4.831 3.131 0.847
-3.564 1.337 4.400
3.119 6.860 2.352
Ba Tl Pb
2 1 1
direct
0.004 0.004 0.994
0.496 0.496 0.506
0.250 0.250 0.250
0.750 0.750 0.750
```

Computed properties:
The value obtained for the formation enthalpy at 0 K is -0.283 eV/atom. The density of states at the Fermi level is 4.09 states/eV/cell. As for the crystal system: monoclinic.

***

[4]
Entry from the Alexandria database: crystalline LaTm3Ga2 at its relaxed geometry (PBE).

```
LaTm3Ga2
1.0
-0.885 4.832 -0.562
-1.912 -1.072 -6.208
-8.999 -1.299 2.997
Tm La Ga
6 2 4
direct
0.500 0.167 0.827
0.000 0.833 0.695
0.000 0.963 0.054
0.500 0.667 0.173
0.000 0.333 0.305
0.000 0.463 0.946
0.500 0.544 0.548
0.500 0.044 0.452
0.500 0.712 0.865
0.500 0.212 0.135
0.000 0.282 0.646
0.000 0.782 0.354
```

Computed properties:
The value obtained for the formation enthalpy at 0 K is -0.410 eV/atom. The density of states at the Fermi level is 10.84 states/eV/cell. As for the crystal system: orthorhombic.

***

[5]
Entry from the Alexandria database: crystalline BaSi2As at its relaxed geometry (PBE).

```
BaSi2As
1.0
5.495 -0.003 -0.009
-2.728 5.783 -0.022
0.039 0.901 3.074
Ba Si As
1 2 1
direct
0.500 0.500 0.000
0.000 0.000 0.000
0.500 0.000 0.500
0.000 0.500 0.500
```

Computed properties:
For the raw formation energy, the calculation gives 0.40 eV per atom. The density of states at the Fermi level is 2.29 states/eV/cell. As for the crystal system: monoclinic.

***

[6]
Entry from the Alexandria database: crystalline AgBiAu3 at its relaxed geometry (PBE).

```
AgBiAu3
1.0
6.806 0.000 0.000
0.000 7.989 0.000
0.000 0.000 7.723
Bi Au Ag
4 12 4
direct
0.782 0.858 0.000
0.218 0.142 0.000
0.282 0.642 0.500
0.718 0.358 0.500
0.389 0.846 0.803
0.611 0.154 0.803
0.889 0.654 0.697
0.111 0.346 0.697
0.500 0.500 0.189
0.611 0.154 0.197
0.111 0.346 0.303
0.389 0.846 0.197
0.000 0.000 0.689
0.500 0.500 0.811
0.000 0.000 0.311
0.889 0.654 0.303
0.659 0.890 0.500
0.159 0.610 0.000
0.841 0.390 0.000
0.341 0.110 0.500
```

Computed properties:
The value obtained for the formation enthalpy at 0 K is 0.025 eV/atom. The density of states at the Fermi level is 5.47 states/eV/cell. As for the crystal system: orthorhombic.

***

[7]
Entry from the Alexandria database: crystalline TlFeAs at its relaxed geometry (PBE).

```
TlFeAs
1.0
-4.041 2.161 4.282
-6.174 -0.235 1.078
5.392 -2.851 -1.457
As Fe Tl
1 1 1
direct
0.050 0.050 0.000
0.626 0.626 0.000
0.323 0.323 0.000
```

Computed properties:
The value obtained for the formation enthalpy at 0 K is 0.229 eV/atom. The density of states at the Fermi level is 2.97 states/eV/cell. As for the crystal system: tetragonal.

***

[8]
Entry from the Alexandria database: crystalline Rb2NaCd3Sb4 at its relaxed geometry (PBE).

```
Rb2NaCd3Sb4
1.0
-3.165 0.027 3.988
-2.810 -3.628 -2.205
6.854 -8.650 5.497
Sb Cd Na Rb
4 3 1 2
direct
0.500 0.500 0.000
0.500 0.000 0.635
0.000 0.500 0.365
0.000 0.000 0.000
0.500 0.000 0.864
0.000 0.500 0.136
0.000 0.000 0.500
0.500 0.500 0.500
0.000 0.500 0.747
0.500 0.000 0.253
```

Computed properties:
For the raw formation energy, the calculation gives -0.30 eV per atom. The density of states at the Fermi level is 2.57 states/eV/cell. As for the crystal system: tetragonal.

***

[9]
Entry from the Alexandria database: crystalline AlMoSe2N at its relaxed geometry (PBE).

```
AlMoSe2N
1.0
5.003 0.000 0.000
0.000 5.003 0.000
0.000 0.000 3.576
Se N Mo Al
2 1 1 1
direct
0.500 0.000 0.000
0.000 0.500 0.000
0.000 0.000 0.500
0.500 0.500 0.500
0.000 0.000 0.000
```

Computed properties:
For the raw formation energy, the calculation gives 0.54 eV per atom. The density of states at the Fermi level is 1.71 states/eV/cell. As for the crystal system: tetragonal.

***

[10]
Entry from the Alexandria database: crystalline CeLuCdAg at its relaxed geometry (PBE).

```
CeLuCdAg
1.0
5.248 0.000 0.000
2.624 4.545 0.000
2.624 1.515 4.285
Ce Cd Ag Lu
1 1 1 1
direct
0.000 0.000 0.000
0.750 0.750 0.750
0.250 0.250 0.250
0.500 0.500 0.500
```

Computed properties:
The value obtained for the formation enthalpy at 0 K is -0.175 eV/atom. The density of states at the Fermi level is 8.42 states/eV/cell. As for the crystal system: cubic.

***

[11]
Entry from the Alexandria database: crystalline PmZn12Au6 at its relaxed geometry (PBE).

```
PmZn12Au6
1.0
7.303 -0.025 -0.036
-1.835 7.069 -0.036
-1.835 -2.363 6.662
Zn Au Pm
12 6 1
direct
0.385 0.385 0.138
0.500 0.892 0.108
0.500 0.108 0.892
0.385 0.138 0.385
0.615 0.862 0.615
0.862 0.615 0.615
0.892 0.500 0.108
0.138 0.385 0.385
0.108 0.500 0.892
0.108 0.892 0.500
0.892 0.108 0.500
0.615 0.615 0.862
0.715 0.286 0.715
0.715 0.715 0.286
0.285 0.285 0.714
0.285 0.714 0.285
0.286 0.715 0.715
0.714 0.285 0.285
0.000 0.000 0.000
```

Computed properties:
The value obtained for the formation enthalpy at 0 K is -0.219 eV/atom. The density of states at the Fermi level is 4.82 states/eV/cell. As for the crystal system: trigonal.

***

[12]
Entry from the Alexandria database: crystalline LaPm5Y2 at its relaxed geometry (PBE).

```
LaPm5Y2
1.0
-3.405 1.542 -3.523
-4.353 -5.576 1.766
-6.591 8.316 10.010
La Pm Y
2 10 4
direct
0.000 0.500 0.000
0.000 0.000 0.500
0.500 0.751 0.126
0.000 0.499 0.749
0.000 0.999 0.751
0.500 0.249 0.874
0.000 0.000 0.000
0.000 0.500 0.500
0.500 0.251 0.374
0.500 0.749 0.626
0.000 0.501 0.251
0.000 0.001 0.249
0.500 0.249 0.626
0.500 0.251 0.126
0.500 0.751 0.374
0.500 0.749 0.874
```

Computed properties:
The value obtained for the formation enthalpy at 0 K is 0.015 eV/atom. The density of states at the Fermi level is 23.50 states/eV/cell. As for the crystal system: orthorhombic.

***

Which formula does entry 6 have?
AgBiAu3